Entry 1:
# BeAgBr, PBEsol geometry, DFT SCAN
data_BeAgBr
_space_group_name_H-M_alt 'P 1'
_space_group_IT_number 1
_space_group_name_Hall 'P 1'
_cell_length_a 3.054
_cell_length_b 3.054
_cell_length_c 6.247
_cell_angle_alpha 104.15
_cell_angle_beta 104.15
_cell_angle_gamma 90.00
loop_
_atom_site_label
_atom_site_type_symbol
_atom_site_fract_x
_atom_site_fract_y
_atom_site_fract_z
Ag1 Ag 0.044 0.044 0.089
Be1 Be 0.668 0.668 0.335
Br1 Br 0.288 0.288 0.576
# Formation energy without anion corrections: 0.322 eV per atom
# Magnetization: 0.00 μB per formula unit
# DOS(E_F): 0.63 states/eV/cell
# Space-group type: I4mm, No. 107
# Energy above the lowest structure with this stoichiometry: 0.0 meV/atom

=====

Entry 2:
# Be4AgBr, PBEsol geometry, DFT SCAN
data_Be4AgBr
_space_group_name_H-M_alt 'P 1'
_space_group_IT_number 1
_space_group_name_Hall 'P 1'
_cell_length_a 4.720
_cell_length_b 4.720
_cell_length_c 4.720
_cell_angle_alpha 60.00
_cell_angle_beta 60.00
_cell_angle_gamma 60.00
loop_
_atom_site_label
_atom_site_type_symbol
_atom_site_fract_x
_atom_site_fract_y
_atom_site_fract_z
Be1 Be 0.881 0.373 0.373
Be2 Be 0.373 0.373 0.373
Be3 Be 0.373 0.881 0.373
Be4 Be 0.373 0.373 0.881
Br1 Br 0.750 0.750 0.750
Ag1 Ag 0.000 0.000 0.000
# Formation energy without anion corrections: 0.701 eV per atom
# Magnetization: 0.00 μB per formula unit
# DOS(E_F): 2.26 states/eV/cell
# Space-group type: F-43m, No. 216